Entry 1:
Be3Cl, optimized geometry, DFT GGA-PBE; density of states at the Fermi level = 0.777 states/eV/f.u.; magnetic moment = 0.00 μB/f.u.; polymorph energy (0 for the lowest one) = 380 meV/atom; SG = Pmm2, No. 25; electronic total energy = -2.819 eV per atom
1.0
3.180 0.000 0.000
0.000 3.315 0.000
0.000 0.000 5.846
Be Cl
3 1
direct
0.000 0.000 0.000
0.000 0.500 0.219
0.500 0.000 0.226
0.500 0.500 0.492

***

Entry 2:
BeCl, optimized geometry, DFT GGA-PBE; density of states at the Fermi level = 0.042 states/eV/f.u.; magnetic moment = 0.00 μB/f.u.; polymorph energy (0 for the lowest one) = 143 meV/atom; SG = I4/m, No. 87; electronic total energy = -3.211 eV per atom
1.0
-4.962 4.962 1.525
4.962 -4.962 1.525
4.962 4.962 -1.525
Be Cl
4 4
direct
0.170 0.696 0.866
0.304 0.170 0.473
0.696 0.830 0.527
0.830 0.304 0.134
0.221 0.487 0.708
0.487 0.779 0.267
0.513 0.221 0.733
0.779 0.513 0.292

***

Entry 3:
Be3Cl, optimized geometry, DFT GGA-PBE; density of states at the Fermi level = 2.402 states/eV/f.u.; magnetic moment = 0.00 μB/f.u.; polymorph energy (0 for the lowest one) = 668 meV/atom; SG = I4/mmm, No. 139; electronic total energy = -2.532 eV per atom
1.0
-1.505 1.505 6.323
1.505 -1.505 6.323
1.505 1.505 -6.323
Be Cl
3 1
direct
0.000 0.000 0.000
0.250 0.750 0.500
0.750 0.250 0.500
0.500 0.500 0.000

***

Entry 4:
BeCl7, optimized geometry, DFT GGA-PBE; density of states at the Fermi level = 9.864 states/eV/f.u.; magnetic moment = 1.37 μB/f.u.; SG = Fm-3m, No. 225; electronic total energy = -1.297 eV per atom
1.0
0.000 4.324 4.324
4.324 0.000 4.324
4.324 4.324 0.000
Be Cl
1 7
direct
0.000 0.000 0.000
0.000 0.000 0.500
0.000 0.500 0.000
0.000 0.500 0.500
0.500 0.000 0.000
0.500 0.000 0.500
0.500 0.500 0.000
0.500 0.500 0.500

***

Entry 5:
BeCl, optimized geometry, DFT GGA-PBE; density of states at the Fermi level = 0.012 states/eV/f.u.; magnetic moment = 0.00 μB/f.u.; polymorph energy (0 for the lowest one) = 0 meV/atom; SG = Pmma, No. 51; electronic total energy = -3.353 eV per atom
1.0
3.180 0.000 0.000
0.000 3.195 0.000
0.000 0.000 8.212
Be Cl
2 2
direct
0.250 0.000 0.111
0.750 0.000 0.889
0.250 0.500 0.261
0.750 0.500 0.739

***

Entry 6:
BeCl4, optimized geometry, DFT GGA-PBE; density of states at the Fermi level = 3.895 states/eV/f.u.; magnetic moment = 2.00 μB/f.u.; polymorph energy (0 for the lowest one) = 0 meV/atom; SG = Pm-3m, No. 221; electronic total energy = -2.376 eV per atom
1.0
4.577 0.000 0.000
0.000 4.577 0.000
0.000 0.000 4.577
Be Cl
1 4
direct
0.000 0.000 0.000
0.000 0.000 0.500
0.000 0.500 0.000
0.500 0.000 0.000
0.500 0.500 0.500

***

Entry 7:
Be3Cl, optimized geometry, DFT GGA-PBE; density of states at the Fermi level = 0.385 states/eV/f.u.; magnetic moment = 0.00 μB/f.u.; polymorph energy (0 for the lowest one) = 631 meV/atom; SG = R-3m, No. 166; electronic total energy = -2.568 eV per atom
1.0
3.760 2.171 0.981
-3.760 2.171 0.981
0.000 -4.341 0.981
Be Cl
3 1
direct
0.000 0.500 0.500
0.500 0.000 0.500
0.500 0.500 0.000
0.000 0.000 0.000

***

Entry 8:
Be3Cl, optimized geometry, DFT GGA-PBE; density of states at the Fermi level = 3.146 states/eV/f.u.; magnetic moment = 0.00 μB/f.u.; polymorph energy (0 for the lowest one) = 957 meV/atom; SG = Pm-3n, No. 223; electronic total energy = -2.243 eV per atom
1.0
4.602 0.000 0.000
0.000 4.602 0.000
0.000 0.000 4.602
Be Cl
6 2
direct
0.000 0.250 0.500
0.000 0.750 0.500
0.250 0.500 0.000
0.500 0.000 0.250
0.500 0.000 0.750
0.750 0.500 0.000
0.000 0.000 0.000
0.500 0.500 0.500

***

Entry 9:
Be3Cl, optimized geometry, DFT GGA-PBE; density of states at the Fermi level = 0.179 states/eV/f.u.; magnetic moment = 0.00 μB/f.u.; polymorph energy (0 for the lowest one) = 415 meV/atom; SG = P-6m2, No. 187; electronic total energy = -2.785 eV per atom
1.0
2.862 0.000 0.000
-1.431 2.479 0.000
0.000 0.000 6.757
Be Cl
3 1
direct
0.000 0.000 0.000
0.333 0.667 0.234
0.333 0.667 0.766
0.000 0.000 0.500

***

Entry 10:
Be3Cl, optimized geometry, DFT GGA-PBE; density of states at the Fermi level = 1.945 states/eV/f.u.; magnetic moment = 0.00 μB/f.u.; polymorph energy (0 for the lowest one) = 783 meV/atom; SG = P4/mmm, No. 123; electronic total energy = -2.416 eV per atom
1.0
4.446 0.000 0.000
0.000 4.446 0.000
0.000 0.000 2.575
Be Cl
3 1
direct
0.000 0.000 0.000
0.000 0.500 0.500
0.500 0.000 0.500
0.500 0.500 0.000

***

Entry 11:
BeCl, optimized geometry, DFT GGA-PBE; density of states at the Fermi level = 0.789 states/eV/f.u.; magnetic moment = 0.00 μB/f.u.; polymorph energy (0 for the lowest one) = 956 meV/atom; SG = P6_3/mmc, No. 194; electronic total energy = -2.397 eV per atom
1.0
3.153 0.000 0.000
-1.577 2.731 0.000
0.000 0.000 6.462
Be Cl
2 2
direct
0.333 0.667 0.250
0.667 0.333 0.750
0.000 0.000 0.000
0.000 0.000 0.500

***

Entry 12:
BeCl5, optimized geometry, DFT GGA-PBE; density of states at the Fermi level = 4.146 states/eV/f.u.; magnetic moment = 0.00 μB/f.u.; polymorph energy (0 for the lowest one) = 1000 meV/atom; SG = P6/mmm, No. 191; electronic total energy = -1.684 eV per atom
1.0
4.967 0.000 0.000
-2.483 4.301 0.000
0.000 0.000 8.412
Be Cl
1 5
direct
0.000 0.000 0.000
0.000 0.500 0.500
0.333 0.667 0.000
0.500 0.000 0.500
0.500 0.500 0.500
0.667 0.333 0.000

***

Entry 13:
BeCl, optimized geometry, DFT GGA-PBE; density of states at the Fermi level = 0.781 states/eV/f.u.; magnetic moment = 0.62 μB/f.u.; polymorph energy (0 for the lowest one) = 776 meV/atom; SG = P2_1/m, No. 11; electronic total energy = -2.578 eV per atom
1.0
3.082 0.000 0.000
0.000 4.420 0.000
-0.628 0.000 6.146
Be Cl
2 2
direct
0.027 0.250 0.129
0.973 0.750 0.871
0.041 0.750 0.203
0.959 0.250 0.797

***

Entry 14:
BeCl, optimized geometry, DFT GGA-PBE; density of states at the Fermi level = 1.339 states/eV/f.u.; magnetic moment = 0.55 μB/f.u.; polymorph energy (0 for the lowest one) = 1567 meV/atom; SG = Fd-3m, No. 227; electronic total energy = -1.786 eV per atom
1.0
0.000 3.271 3.271
3.271 0.000 3.271
3.271 3.271 0.000
Be Cl
2 2
direct
0.125 0.125 0.125
0.875 0.875 0.875
0.375 0.375 0.375
0.625 0.625 0.625

***

Entry 15:
BeCl, optimized geometry, DFT GGA-PBE; density of states at the Fermi level = 0.935 states/eV/f.u.; magnetic moment = 0.00 μB/f.u.; polymorph energy (0 for the lowest one) = 696 meV/atom; SG = P6_3mc, No. 186; electronic total energy = -2.657 eV per atom
1.0
3.110 0.000 0.000
-1.555 2.693 0.000
0.000 0.000 10.770
Be Cl
2 2
direct
0.333 0.667 0.000
0.667 0.333 0.500
0.333 0.667 0.388
0.667 0.333 0.888

***

Entry 16:
BeCl, optimized geometry, DFT GGA-PBE; magnetic moment = 0.00 μB/f.u.; polymorph energy (0 for the lowest one) = 37 meV/atom; SG = P2_12_12_1, No. 19; electronic total energy = -3.317 eV per atom
1.0
5.169 0.000 0.000
0.000 6.575 0.000
0.000 0.000 9.677
Be Cl
8 8
direct
0.119 0.054 0.377
0.210 0.736 0.031
0.290 0.264 0.531
0.381 0.946 0.877
0.619 0.446 0.623
0.710 0.764 0.969
0.790 0.236 0.469
0.881 0.554 0.123
0.216 0.066 0.713
0.220 0.435 0.080
0.280 0.565 0.580
0.284 0.934 0.213
0.716 0.434 0.287
0.720 0.065 0.920
0.780 0.935 0.420
0.784 0.566 0.787

***

Entry 17:
Be3Cl, optimized geometry, DFT GGA-PBE; density of states at the Fermi level = 0.536 states/eV/f.u.; magnetic moment = 0.00 μB/f.u.; polymorph energy (0 for the lowest one) = 30 meV/atom; SG = Cmcm, No. 63; electronic total energy = -3.170 eV per atom
1.0
3.108 -7.492 0.000
3.108 7.492 0.000
0.000 0.000 3.193
Be Cl
6 2
direct
0.013 0.411 0.750
0.227 0.773 0.750
0.411 0.013 0.250
0.589 0.987 0.750
0.773 0.227 0.250
0.987 0.589 0.250
0.377 0.623 0.750
0.623 0.377 0.250

***

Entry 18:
BeCl4, optimized geometry, DFT GGA-PBE; density of states at the Fermi level = 3.842 states/eV/f.u.; magnetic moment = 0.32 μB/f.u.; polymorph energy (0 for the lowest one) = 107 meV/atom; SG = I4/m, No. 87; electronic total energy = -2.269 eV per atom
1.0
-5.143 5.143 1.313
5.143 -5.143 1.313
5.143 5.143 -1.313
Be Cl
1 4
direct
0.000 0.000 0.000
0.295 0.469 0.765
0.469 0.705 0.174
0.531 0.295 0.826
0.705 0.531 0.235

***

Entry 19:
BeCoCl2, optimized geometry, DFT GGA-PBE; density of states at the Fermi level = 0.919 states/eV/f.u.; magnetic moment = 1.04 μB/f.u.; polymorph energy (0 for the lowest one) = 455 meV/atom; SG = R-3m, No. 166; electronic total energy = -3.498 eV per atom
1.0
1.736 1.003 6.720
-1.736 1.003 6.720
0.000 -2.005 6.720
Be Co Cl
1 1 2
direct
0.000 0.000 0.000
0.500 0.500 0.500
0.099 0.099 0.099
0.901 0.901 0.901

***

Entry 20:
BeCoCl, optimized geometry, DFT GGA-PBE; density of states at the Fermi level = 1.227 states/eV/f.u.; magnetic moment = 0.00 μB/f.u.; polymorph energy (0 for the lowest one) = 950 meV/atom; SG = F-43m, No. 216; electronic total energy = -3.636 eV per atom
1.0
0.000 2.656 2.656
2.656 0.000 2.656
2.656 2.656 0.000
Be Co Cl
1 1 1
direct
0.000 0.000 0.000
0.250 0.250 0.250
0.500 0.500 0.500

***

Entry 21:
BeCoCl, optimized geometry, DFT GGA-PBE; density of states at the Fermi level = 3.197 states/eV/f.u.; magnetic moment = 0.96 μB/f.u.; polymorph energy (0 for the lowest one) = 1262 meV/atom; SG = F-43m, No. 216; electronic total energy = -3.325 eV per atom
1.0
0.000 2.748 2.748
2.748 0.000 2.748
2.748 2.748 0.000
Be Co Cl
1 1 1
direct
0.000 0.000 0.000
0.250 0.250 0.250
0.750 0.750 0.750

***

Entry 22:
BeCoCl, optimized geometry, DFT GGA-PBE; density of states at the Fermi level = 2.224 states/eV/f.u.; magnetic moment = 1.15 μB/f.u.; polymorph energy (0 for the lowest one) = 233 meV/atom; SG = Immm, No. 71; electronic total energy = -4.353 eV per atom
1.0
-1.583 2.962 4.682
1.583 -2.962 4.682
1.583 2.962 -4.682
Be Co Cl
2 2 2
direct
0.122 0.122 0.000
0.878 0.878 0.000
0.188 0.500 0.688
0.812 0.500 0.312
0.338 0.338 0.000
0.662 0.662 0.000

***

Entry 23:
BeCo2Cl, optimized geometry, DFT GGA-PBE; density of states at the Fermi level = 5.142 states/eV/f.u.; magnetic moment = 2.27 μB/f.u.; polymorph energy (0 for the lowest one) = 119 meV/atom; SG = C2/m, No. 12; electronic total energy = -4.716 eV per atom
1.0
3.492 -1.380 0.000
3.492 1.380 0.000
-3.161 0.000 5.801
Be Co Cl
1 2 1
direct
0.000 0.000 0.000
0.360 0.360 0.163
0.640 0.640 0.837
0.000 0.000 0.500

***

Entry 24:
Be2CoCl, optimized geometry, DFT GGA-PBE; density of states at the Fermi level = 1.668 states/eV/f.u.; magnetic moment = 0.00 μB/f.u.; polymorph energy (0 for the lowest one) = 535 meV/atom; SG = C2/m, No. 12; electronic total energy = -3.588 eV per atom
1.0
2.392 -3.985 0.000
2.392 3.985 0.000
-1.537 0.000 2.353
Be Co Cl
2 1 1
direct
0.000 0.500 0.000
0.500 0.000 0.000
0.000 0.000 0.000
0.500 0.500 0.000

***

Entry 25:
BeCo2Cl, optimized geometry, DFT GGA-PBE; density of states at the Fermi level = 4.434 states/eV/f.u.; magnetic moment = 3.51 μB/f.u.; polymorph energy (0 for the lowest one) = 210 meV/atom; SG = Cmm2, No. 35; electronic total energy = -4.625 eV per atom
1.0
1.499 -2.341 0.000
1.499 2.341 0.000
0.000 0.000 8.180
Be Co Cl
1 2 1
direct
0.000 0.000 0.000
0.000 0.000 0.573
0.500 0.500 0.786
0.500 0.500 0.169

***

Entry 26:
BeCo3Cl, optimized geometry, DFT GGA-PBE; density of states at the Fermi level = 8.923 states/eV/f.u.; magnetic moment = 4.40 μB/f.u.; polymorph energy (0 for the lowest one) = 0 meV/atom; SG = Pm-3m, No. 221; electronic total energy = -4.527 eV per atom
1.0
4.054 0.000 0.000
0.000 4.054 0.000
0.000 0.000 4.054
Be Co Cl
1 3 1
direct
0.000 0.000 0.000
0.000 0.000 0.500
0.000 0.500 0.000
0.500 0.000 0.000
0.500 0.500 0.500

***

Entry 27:
BeCoCl2, optimized geometry, DFT GGA-PBE; density of states at the Fermi level = 3.652 states/eV/f.u.; magnetic moment = 2.14 μB/f.u.; polymorph energy (0 for the lowest one) = 410 meV/atom; SG = Cmmm, No. 65; electronic total energy = -3.543 eV per atom
1.0
1.475 -2.946 0.000
1.475 2.946 0.000
0.000 0.000 10.945
Be Co Cl
1 1 2
direct
0.000 0.000 0.000
0.000 0.000 0.500
0.500 0.500 0.133
0.500 0.500 0.867

***

Entry 28:
Be4CoCl, optimized geometry, DFT GGA-PBE; density of states at the Fermi level = 3.610 states/eV/f.u.; magnetic moment = 0.64 μB/f.u.; SG = F-43m, No. 216; electronic total energy = -3.473 eV per atom
1.0
0.000 3.131 3.131
3.131 0.000 3.131
3.131 3.131 0.000
Be Co Cl
4 1 1
direct
0.378 0.378 0.378
0.378 0.378 0.867
0.378 0.867 0.378
0.867 0.378 0.378
0.750 0.750 0.750
0.000 0.000 0.000

***

no.,formation energy from raw total energies (eV per atom)
1,0.4371
2,-0.4242
3,0.7246
4,0.7849
5,-0.5668
6,-0.1532
7,0.6882
8,1.0135
9,0.4715
10,0.8402
11,0.3891
12,0.4762
13,0.2088
14,1.0002
15,0.1295
16,-0.5302
17,0.0867
18,-0.0461
19,0.1333
20,0.5901
21,0.9014
22,-0.1268
23,0.2302
24,0.5132
25,0.3211
26,0.8515
27,0.0887
28,0.5033